*w*
Material: Tl3BiH
Method: DFT, PBE-GGA
State: optimized geometry

```
data_Tl3BiH
_cell_length_a 7.088
_cell_length_b 4.958
_cell_length_c 8.000
_cell_angle_alpha 90.00
_cell_angle_beta 103.98
_cell_angle_gamma 90.00
_symmetry_space_group_name_H-M 'P 1'
_symmetry_Int_Tables_number 1
loop_
_symmetry_equiv_pos_as_xyz
'x,y,z'
loop_
_atom_site_label
_atom_site_fract_x
_atom_site_fract_y
_atom_site_fract_z
Tl1 0.061 0.250 0.322
Tl2 0.245 0.250 0.900
Tl3 0.393 0.750 0.626
Tl4 0.607 0.250 0.374
Tl5 0.755 0.750 0.100
Tl6 0.939 0.750 0.678
Bi1 0.295 0.750 0.208
Bi2 0.705 0.250 0.792
H1 0.147 0.250 0.576
H2 0.853 0.750 0.424
```

Properties
Its space-group type is P2_1/m (11). The calculation puts the density of states at the Fermi level at 1.49 states/eV/f.u.

=====

*x*
Material: Tl3BiH
Method: DFT, PBE-GGA
State: optimized geometry

```
data_Tl3BiH
_cell_length_a 5.068
_cell_length_b 5.068
_cell_length_c 5.068
_cell_angle_alpha 90.00
_cell_angle_beta 90.00
_cell_angle_gamma 90.00
_symmetry_space_group_name_H-M 'P 1'
_symmetry_Int_Tables_number 1
loop_
_symmetry_equiv_pos_as_xyz
'x,y,z'
loop_
_atom_site_label
_atom_site_fract_x
_atom_site_fract_y
_atom_site_fract_z
Tl1 0.000 0.000 0.500
Tl2 0.000 0.500 0.000
Tl3 0.500 0.000 0.000
Bi1 0.500 0.500 0.500
H1 0.000 0.000 0.000
```

Properties
Its space-group type is Pm-3m (221). The calculation puts the density of states at the Fermi level at 1.31 states/eV/f.u.

=====

*x* is preferred energetically. Next in line: 22 meV/atom higher.

=====

*w*
Material: Tl2BiH
Method: DFT, PBE-GGA
State: optimized geometry

```
data_Tl2BiH
_cell_length_a 5.299
_cell_length_b 5.299
_cell_length_c 5.299
_cell_angle_alpha 60.00
_cell_angle_beta 60.00
_cell_angle_gamma 60.00
_symmetry_space_group_name_H-M 'P 1'
_symmetry_Int_Tables_number 1
loop_
_symmetry_equiv_pos_as_xyz
'x,y,z'
loop_
_atom_site_label
_atom_site_fract_x
_atom_site_fract_y
_atom_site_fract_z
Tl1 0.250 0.250 0.250
Tl2 0.750 0.750 0.750
Bi1 0.000 0.000 0.000
H1 0.500 0.500 0.500
```

Properties
Its space-group type is Fm-3m (225). The calculation puts the density of states at the Fermi level at 3.04 states/eV/f.u.

=====

*x*
Material: Tl2BiH
Method: DFT, PBE-GGA
State: optimized geometry

```
data_Tl2BiH
_cell_length_a 7.508
_cell_length_b 7.508
_cell_length_c 7.508
_cell_angle_alpha 132.46
_cell_angle_beta 132.46
_cell_angle_gamma 69.50
_symmetry_space_group_name_H-M 'P 1'
_symmetry_Int_Tables_number 1
loop_
_symmetry_equiv_pos_as_xyz
'x,y,z'
loop_
_atom_site_label
_atom_site_fract_x
_atom_site_fract_y
_atom_site_fract_z
Tl1 0.375 0.247 0.372
Tl2 0.753 0.125 0.128
Tl3 0.875 0.003 0.628
Tl4 0.997 0.625 0.872
Bi1 0.250 0.750 0.500
Bi2 0.500 0.500 0.000
H1 0.000 0.000 0.000
H2 0.750 0.250 0.500
```

Properties
Its space-group type is I-42d (122). The calculation puts the density of states at the Fermi level at 2.04 states/eV/f.u.

=====

*y*
Material: Tl2BiH
Method: DFT, PBE-GGA
State: optimized geometry

```
data_Tl2BiH
_cell_length_a 9.296
_cell_length_b 9.296
_cell_length_c 6.800
_cell_angle_alpha 94.46
_cell_angle_beta 94.46
_cell_angle_gamma 21.02
_symmetry_space_group_name_H-M 'P 1'
_symmetry_Int_Tables_number 1
loop_
_symmetry_equiv_pos_as_xyz
'x,y,z'
loop_
_atom_site_label
_atom_site_fract_x
_atom_site_fract_y
_atom_site_fract_z
Tl1 0.089 0.089 0.408
Tl2 0.090 0.090 0.910
Tl3 0.910 0.910 0.090
Tl4 0.911 0.911 0.592
Bi1 0.253 0.253 0.720
Bi2 0.747 0.747 0.280
H1 0.445 0.445 0.302
H2 0.555 0.555 0.698
```

Properties
Its space-group type is C2/m (12). The calculation puts the density of states at the Fermi level at 0.80 states/eV/f.u.

=====

*y* is preferred energetically. Next in line: 125 meV/atom higher.

=====

*w*
Material: VBi2H
Method: DFT, PBE-GGA
State: optimized geometry

```
data_VBi2H
_cell_length_a 4.883
_cell_length_b 4.883
_cell_length_c 4.883
_cell_angle_alpha 60.00
_cell_angle_beta 60.00
_cell_angle_gamma 60.00
_symmetry_space_group_name_H-M 'P 1'
_symmetry_Int_Tables_number 1
loop_
_symmetry_equiv_pos_as_xyz
'x,y,z'
loop_
_atom_site_label
_atom_site_fract_x
_atom_site_fract_y
_atom_site_fract_z
V1 0.000 0.000 0.000
Bi1 0.250 0.250 0.250
Bi2 0.750 0.750 0.750
H1 0.500 0.500 0.500
```

Properties
Its space-group type is Fm-3m (225). The calculation puts the density of states at the Fermi level at 4.20 states/eV/f.u.

=====

*x*
Material: VBi2H
Method: DFT, PBE-GGA
State: optimized geometry

```
data_VBi2H
_cell_length_a 5.972
_cell_length_b 5.972
_cell_length_c 5.972
_cell_angle_alpha 111.08
_cell_angle_beta 111.08
_cell_angle_gamma 106.31
_symmetry_space_group_name_H-M 'P 1'
_symmetry_Int_Tables_number 1
loop_
_symmetry_equiv_pos_as_xyz
'x,y,z'
loop_
_atom_site_label
_atom_site_fract_x
_atom_site_fract_y
_atom_site_fract_z
V1 0.000 0.000 0.000
V2 0.750 0.250 0.500
Bi1 0.196 0.625 0.071
Bi2 0.375 0.446 0.571
Bi3 0.554 0.125 0.929
Bi4 0.875 0.804 0.429
H1 0.250 0.750 0.500
H2 0.500 0.500 0.000
```

Properties
Its space-group type is I-42d (122). The calculation puts the density of states at the Fermi level at 4.22 states/eV/f.u.

=====

*x* is preferred energetically. Next in line: 72 meV/atom higher.

=====

*w*
Material: V2BiH
Method: DFT, PBE-GGA
State: optimized geometry

```
data_V2BiH
_cell_length_a 6.001
_cell_length_b 6.001
_cell_length_c 6.001
_cell_angle_alpha 131.52
_cell_angle_beta 131.52
_cell_angle_gamma 70.99
_symmetry_space_group_name_H-M 'P 1'
_symmetry_Int_Tables_number 1
loop_
_symmetry_equiv_pos_as_xyz
'x,y,z'
loop_
_atom_site_label
_atom_site_fract_x
_atom_site_fract_y
_atom_site_fract_z
V1 0.000 0.000 0.000
V2 0.000 0.000 0.500
V3 0.000 0.500 0.000
V4 0.500 0.000 0.500
Bi1 0.375 0.625 0.750
Bi2 0.625 0.375 0.250
H1 0.125 0.875 0.250
H2 0.875 0.125 0.750
```

Properties
Its space-group type is I4_1/amd (141). The calculation puts the density of states at the Fermi level at 2.22 states/eV/f.u.

=====

*x*
Material: V2BiH
Method: DFT, PBE-GGA
State: optimized geometry

```
data_V2BiH
_cell_length_a 4.467
_cell_length_b 4.467
_cell_length_c 4.467
_cell_angle_alpha 60.00
_cell_angle_beta 60.00
_cell_angle_gamma 60.00
_symmetry_space_group_name_H-M 'P 1'
_symmetry_Int_Tables_number 1
loop_
_symmetry_equiv_pos_as_xyz
'x,y,z'
loop_
_atom_site_label
_atom_site_fract_x
_atom_site_fract_y
_atom_site_fract_z
V1 0.250 0.250 0.250
V2 0.750 0.750 0.750
Bi1 0.000 0.000 0.000
H1 0.500 0.500 0.500
```

Properties
Its space-group type is Fm-3m (225). The calculation puts the density of states at the Fermi level at 5.99 states/eV/f.u.

=====

*y*
Material: V2BiH
Method: DFT, PBE-GGA
State: optimized geometry

```
data_V2BiH
_cell_length_a 7.550
_cell_length_b 7.550
_cell_length_c 7.550
_cell_angle_alpha 24.45
_cell_angle_beta 24.45
_cell_angle_gamma 24.45
_symmetry_space_group_name_H-M 'P 1'
_symmetry_Int_Tables_number 1
loop_
_symmetry_equiv_pos_as_xyz
'x,y,z'
loop_
_atom_site_label
_atom_site_fract_x
_atom_site_fract_y
_atom_site_fract_z
V1 0.131 0.131 0.131
V2 0.869 0.869 0.869
Bi1 0.000 0.000 0.000
H1 0.500 0.500 0.500
```

Properties
Its space-group type is R-3m (166). The calculation puts the density of states at the Fermi level at 3.61 states/eV/f.u.

=====

*w* is preferred energetically. Next in line: 115 meV/atom higher.